{
  "formula": "YSi2Cl",
  "functional": "GGA-PBE",
  "state": "optimized geometry",
  "lattice_angstrom": [[3.7270, 0.0000, 0.0000], [0.0000, 3.7270, 0.0000], [0.0000, 0.0000, 5.6376]],
  "species": ["Y", "Si", "Si", "Cl"],
  "fractional_positions": [[0.0000, 0.0000, 0.0000], [0.0000, 0.5000, 0.5000], [0.5000, 0.0000, 0.5000], [0.5000, 0.5000, 0.0000]],
  "e_form_raw_mev_per_atom": -480,
  "spacegroup": "P4/mmm, No. 123",
  "e_above_lowest_polymorph_ev_per_atom": 0.363
}

=====

{
  "formula": "Sm3Ho2Tm7",
  "functional": "GGA-PBE",
  "state": "optimized geometry",
  "lattice_angstrom": [[6.2737, 0.0000, 0.0000], [0.0000, 3.4940, 0.0000], [-1.8821, 0.0000, 17.2247]],
  "species": ["Sm", "Sm", "Sm", "Ho", "Ho", "Tm", "Tm", "Tm", "Tm", "Tm", "Tm", "Tm"],
  "fractional_positions": [[0.0000, 0.0000, 0.0000], [0.0487, 0.5000, 0.6578], [0.9513, 0.5000, 0.3422], [0.4421, 0.0000, 0.3255], [0.5579, 0.0000, 0.6745], [0.2280, 0.5000, 0.1652], [0.2470, 0.0000, 0.5006], [0.2763, 0.0000, 0.8341], [0.5000, 0.5000, 0.0000], [0.7237, 0.0000, 0.1659], [0.7530, 0.0000, 0.4994], [0.7720, 0.5000, 0.8348]],
  "formation_energy_kj_per_mol_fu": 104,
  "spacegroup": "P2/m, No. 10"
}

=====

{
  "formula": "NbAsP2S",
  "functional": "GGA-PBE",
  "state": "optimized geometry",
  "lattice_angstrom": [[4.5826, 0.0000, 0.0000], [0.0000, 4.5826, 0.0000], [0.0000, 0.0000, 4.6620]],
  "species": ["Nb", "As", "P", "P", "S"],
  "fractional_positions": [[0.0000, 0.0000, 0.0000], [0.5000, 0.5000, 0.5000], [0.0000, 0.5000, 0.5000], [0.5000, 0.0000, 0.5000], [0.5000, 0.5000, 0.0000]],
  "e_form_raw_mev_per_atom": 925,
  "spacegroup": "P4/mmm, No. 123",
  "e_above_lowest_polymorph_ev_per_atom": 0.410
}

=====

{
  "formula": "BaGeS6O21",
  "functional": "GGA-PBE",
  "state": "optimized geometry",
  "lattice_angstrom": [[7.7763, 0.0000, 0.0000], [0.0000, 13.2908, 0.0000], [0.0000, 0.0000, 17.3363]],
  "species": ["Ba", "Ba", "Ba", "Ba", "Ge", "Ge", "Ge", "Ge", "S", "S", "S", "S", "S", "S", "S", "S", "S", "S", "S", "S", "S", "S", "S", "S", "S", "S", "S", "S", "S", "S", "S", "S", "O", "O", "O", "O", "O", "O", "O", "O", "O", "O", "O", "O", "O", "O", "O", "O", "O", "O", "O", "O", "O", "O", "O", "O", "O", "O", "O", "O", "O", "O", "O", "O", "O", "O", "O", "O", "O", "O", "O", "O", "O", "O", "O", "O", "O", "O", "O", "O", "O", "O", "O", "O", "O", "O", "O", "O", "O", "O", "O", "O", "O", "O", "O", "O", "O", "O", "O", "O", "O", "O", "O", "O", "O", "O", "O", "O", "O", "O", "O", "O", "O", "O", "O", "O"],
  "fractional_positions": [[0.2476, 0.0120, 0.0199], [0.2524, 0.9880, 0.5199], [0.7476, 0.4880, 0.9801], [0.7524, 0.5120, 0.4801], [0.2484, 0.2685, 0.2668], [0.2516, 0.7315, 0.7668], [0.7484, 0.2315, 0.7332], [0.7516, 0.7685, 0.2332], [0.0281, 0.6237, 0.1550], [0.0327, 0.2824, 0.1156], [0.0383, 0.7399, 0.9182], [0.1020, 0.6855, 0.6042], [0.2343, 0.0370, 0.2490], [0.2475, 0.5642, 0.8930], [0.2525, 0.4358, 0.3930], [0.2657, 0.9630, 0.7490], [0.3980, 0.3145, 0.1042], [0.4617, 0.2601, 0.4182], [0.4673, 0.7176, 0.6156], [0.4719, 0.3763, 0.6550], [0.5281, 0.8763, 0.8450], [0.5327, 0.2176, 0.8844], [0.5383, 0.7601, 0.0818], [0.6020, 0.8145, 0.3958], [0.7343, 0.4630, 0.7510], [0.7475, 0.9358, 0.1070], [0.7525, 0.0642, 0.6070], [0.7657, 0.5370, 0.2510], [0.8980, 0.1855, 0.8958], [0.9617, 0.2399, 0.5818], [0.9673, 0.7824, 0.3844], [0.9719, 0.1237, 0.3450], [0.0049, 0.6055, 0.5709], [0.0087, 0.0653, 0.4131], [0.0286, 0.0566, 0.2684], [0.0507, 0.1794, 0.0920], [0.0512, 0.2956, 0.2028], [0.0531, 0.7485, 0.8310], [0.0735, 0.7868, 0.5790], [0.0756, 0.8324, 0.9571], [0.0973, 0.2126, 0.3429], [0.0966, 0.5020, 0.8949], [0.0978, 0.4711, 0.4282], [0.1010, 0.6736, 0.6920], [0.1123, 0.8392, 0.4105], [0.1152, 0.1861, 0.5618], [0.1814, 0.9943, 0.8179], [0.1976, 0.3465, 0.0812], [0.2010, 0.6509, 0.1716], [0.2056, 0.6683, 0.9414], [0.2070, 0.8587, 0.7217], [0.2152, 0.3982, 0.3111], [0.2280, 0.9726, 0.1825], [0.2720, 0.0274, 0.6825], [0.2848, 0.6018, 0.8111], [0.2930, 0.1413, 0.2217], [0.2944, 0.3317, 0.4414], [0.2990, 0.3491, 0.6716], [0.3024, 0.6535, 0.5812], [0.3186, 0.0057, 0.3179], [0.3848, 0.8139, 0.0618], [0.3877, 0.1608, 0.9105], [0.3990, 0.3264, 0.1920], [0.4022, 0.5289, 0.9282], [0.4034, 0.4980, 0.3949], [0.4027, 0.7874, 0.8429], [0.4244, 0.1676, 0.4571], [0.4265, 0.2132, 0.0790], [0.4469, 0.2515, 0.3310], [0.4488, 0.7044, 0.7028], [0.4493, 0.8206, 0.5920], [0.4714, 0.9434, 0.7684], [0.4913, 0.9347, 0.9131], [0.4951, 0.3945, 0.0709], [0.5049, 0.8945, 0.4291], [0.5087, 0.4347, 0.5869], [0.5286, 0.4434, 0.7316], [0.5512, 0.2044, 0.7972], [0.5507, 0.3206, 0.9080], [0.5531, 0.7515, 0.1690], [0.5735, 0.7132, 0.4210], [0.5756, 0.6676, 0.0429], [0.5973, 0.2874, 0.6571], [0.5966, 0.9980, 0.1051], [0.5978, 0.0289, 0.5718], [0.6010, 0.8264, 0.3080], [0.6123, 0.6608, 0.5895], [0.6152, 0.3139, 0.4382], [0.6814, 0.5057, 0.1821], [0.6976, 0.1535, 0.9188], [0.7010, 0.8491, 0.8284], [0.7056, 0.8317, 0.0586], [0.7070, 0.6413, 0.2783], [0.7152, 0.1018, 0.6889], [0.7280, 0.5274, 0.8175], [0.7720, 0.4726, 0.3175], [0.7848, 0.8982, 0.1889], [0.7930, 0.3587, 0.7783], [0.7944, 0.1683, 0.5586], [0.7990, 0.1509, 0.3284], [0.8024, 0.8465, 0.4188], [0.8186, 0.4943, 0.6821], [0.8848, 0.6861, 0.9382], [0.8877, 0.3392, 0.0895], [0.8990, 0.1736, 0.8080], [0.9022, 0.9711, 0.0718], [0.9034, 0.0020, 0.6051], [0.9027, 0.7126, 0.1571], [0.9244, 0.3324, 0.5429], [0.9265, 0.2868, 0.9210], [0.9469, 0.2485, 0.6690], [0.9493, 0.6794, 0.4080], [0.9488, 0.7956, 0.2972], [0.9714, 0.5566, 0.2316], [0.9913, 0.5653, 0.0869], [0.9951, 0.1055, 0.9291]],
  "e_form_raw_mev_per_atom": -1420,
  "spacegroup": "P2_12_12_1, No. 19"
}

=====

{
  "formula": "Ho2InTe",
  "functional": "GGA-PBE",
  "state": "optimized geometry",
  "lattice_angstrom": [[2.0625, 1.1908, 7.9125], [-2.0625, 1.1908, 7.9125], [0.0000, -2.3815, 7.9125]],
  "species": ["Ho", "Ho", "In", "Te"],
  "fractional_positions": [[0.2489, 0.2489, 0.2489], [0.7511, 0.7511, 0.7511], [0.0000, 0.0000, 0.0000], [0.5000, 0.5000, 0.5000]],
  "e_form_raw_mev_per_atom": -812,
  "spacegroup": "R-3m, No. 166",
  "e_above_lowest_polymorph_ev_per_atom": 0.079
}

=====

{
  "formula": "GePOsS2",
  "functional": "GGA-PBE",
  "state": "optimized geometry",
  "lattice_angstrom": [[4.8018, 0.0000, 0.0000], [0.0000, 4.8018, 0.0000], [0.0000, 0.0000, 4.4277]],
  "species": ["Ge", "P", "Os", "S", "S"],
  "fractional_positions": [[0.0000, 0.0000, 0.0000], [0.5000, 0.5000, 0.0000], [0.5000, 0.5000, 0.5000], [0.0000, 0.5000, 0.5000], [0.5000, 0.0000, 0.5000]],
  "e_form_raw_mev_per_atom": 655,
  "spacegroup": "P4/mmm, No. 123",
  "e_above_lowest_polymorph_ev_per_atom": 0.000
}

=====

{
  "formula": "Ho2Hf2Ni15",
  "functional": "GGA-PBE",
  "state": "optimized geometry",
  "lattice_angstrom": [[4.2030, 2.4266, 4.1844], [-4.2030, 2.4266, 4.1844], [0.0000, -4.8532, 4.1844]],
  "species": ["Ho", "Ho", "Hf", "Hf", "Ni", "Ni", "Ni", "Ni", "Ni", "Ni", "Ni", "Ni", "Ni", "Ni", "Ni", "Ni", "Ni", "Ni", "Ni"],
  "fractional_positions": [[0.1431, 0.1431, 0.1431], [0.8569, 0.8569, 0.8569], [0.3911, 0.3911, 0.3911], [0.6089, 0.6089, 0.6089], [0.0000, 0.5000, 0.5000], [0.1529, 0.1529, 0.6592], [0.1529, 0.6592, 0.1529], [0.1995, 0.5000, 0.8005], [0.1995, 0.8005, 0.5000], [0.3408, 0.8471, 0.8471], [0.5000, 0.0000, 0.5000], [0.5000, 0.1995, 0.8005], [0.5000, 0.5000, 0.0000], [0.5000, 0.8005, 0.1995], [0.6592, 0.1529, 0.1529], [0.8005, 0.1995, 0.5000], [0.8005, 0.5000, 0.1995], [0.8471, 0.3408, 0.8471], [0.8471, 0.8471, 0.3408]],
  "formation_energy_kj_per_mol_fu": -570,
  "spacegroup": "R-3m, No. 166"
}

=====

{
  "formula": "Ho6Hg6Pb",
  "functional": "GGA-PBE",
  "state": "optimized geometry",
  "lattice_angstrom": [[6.2527, 0.0000, 0.0000], [-3.1264, 5.4150, 0.0000], [0.0000, 0.0000, 10.3784]],
  "species": ["Ho", "Ho", "Ho", "Ho", "Ho", "Ho", "Hg", "Hg", "Hg", "Hg", "Hg", "Hg", "Pb"],
  "fractional_positions": [[0.0000, 0.0000, 0.1759], [0.0000, 0.0000, 0.8241], [0.3333, 0.6667, 0.0000], [0.3333, 0.6667, 0.5000], [0.6667, 0.3333, 0.0000], [0.6667, 0.3333, 0.5000], [0.0000, 0.5000, 0.2496], [0.0000, 0.5000, 0.7504], [0.5000, 0.0000, 0.2496], [0.5000, 0.0000, 0.7504], [0.5000, 0.5000, 0.2496], [0.5000, 0.5000, 0.7504], [0.0000, 0.0000, 0.5000]],
  "formation_energy_kj_per_mol_fu": -348,
  "spacegroup": "P6/mmm, No. 191"
}

=====

Calculated total magnetic moment (μB/atom), listed in the same order as above: 0.000; 0.000; 0.277; 0.000; 0.000; 0.000; 0.022; 0.130
Calculated raw total energy (hartree per atom), listed in the same order as above: -0.194; -0.164; -0.184; -0.224; -0.168; -0.193; -0.235; -0.103